First-principles (SCAN) data for a crystal of Mg2Cr3CoS8 relaxed with PBEsol, as listed in Alexandria via LeMat-Bulk.

Calculated values
- E_form (uncorrected): -1.163 eV/atom
- Calculated total energy: -12.55 eV per atom

a = 7.0552 Å, b = 7.0552 Å, c = 17.2505 Å
α = 90.00°, β = 90.00°, γ = 120.00°
Closest atoms and distances in Å follow each position.
Space group R-3m (No. 166, hexagonal axes)
One atom of each set of equivalent atoms:
Mg (0.0000, 0.0000, 0.1250) (multiplicity 6)  4 S 2.39-2.43
Cr (0.0000, 0.5000, 0.0000) (multiplicity 9)  6 S 2.37-2.38
Co (0.0000, 0.0000, 0.5000) (multiplicity 3)  6 S 2.28
S (0.0000, 0.0000, 0.2636) (multiplicity 6)  3 Cr 2.37, 1 Mg 2.39
S (0.0455, 0.5227, 0.2510) (multiplicity 18)  1 Co 2.28, 2 Cr 2.38, 1 Mg 2.43

=====

First-principles (SCAN) data for a crystal of CsBr3Cl relaxed with PBEsol, as listed in Alexandria via LeMat-Bulk.

Calculated values
- E_form (uncorrected): 0.121 eV/atom
- Calculated total energy: -20.71 eV per atom

a = 6.8327 Å, b = 6.8327 Å, c = 6.8327 Å
α = 90.00°, β = 90.00°, γ = 90.00°
Closest atoms and distances in Å follow each position.
Space group Pm-3m (No. 221)
One atom of each set of equivalent atoms:
Cs (0.0000, 0.0000, 0.0000) (multiplicity 1)  6 Br 3.42
Br (0.0000, 0.0000, 0.5000) (multiplicity 3)  2 Cs 3.42
Cl (0.5000, 0.5000, 0.5000) (multiplicity 1)  12 Br 4.83

=====

First-principles (SCAN) data for a crystal of Ba2Pt relaxed with PBEsol, as listed in Alexandria via LeMat-Bulk.

Calculated values
- Formation enthalpy at 0 K: -205 kJ/mol of formula units
- Calculated total energy: -50.47 eV per atom

a = 7.5766 Å, b = 7.5766 Å, c = 7.5766 Å
α = 90.00°, β = 90.00°, γ = 90.00°
Closest atoms and distances in Å follow each position.
Space group Fm-3m (No. 225)
One atom of each set of equivalent atoms:
Ba (0.2500, 0.2500, 0.2500) (multiplicity 8)  4 Pt 3.28
Pt (0.0000, 0.0000, 0.0000) (multiplicity 4)  8 Ba 3.28

=====

First-principles (SCAN) data for a crystal of NaYPt3 relaxed with PBEsol, as listed in Alexandria via LeMat-Bulk.

Calculated values
- Formation enthalpy at 0 K: 164 kJ/mol of formula units
- Calculated total energy: -48.19 eV per atom

a = 4.5812 Å, b = 4.5812 Å, c = 4.5812 Å
α = 90.00°, β = 90.00°, γ = 90.00°
Closest atoms and distances in Å follow each position.
Space group Pm-3m (No. 221)
One atom of each set of equivalent atoms:
Na (0.0000, 0.0000, 0.0000) (multiplicity 1)  6 Pt 2.29
Y (0.5000, 0.5000, 0.5000) (multiplicity 1)  12 Pt 3.24
Pt (0.0000, 0.0000, 0.5000) (multiplicity 3)  2 Na 2.29

=====

First-principles (SCAN) data for a crystal of Cs3TeSe relaxed with PBEsol, as listed in Alexandria via LeMat-Bulk.

Calculated values
- E_form (uncorrected): -0.667 eV/atom
- Calculated total energy: -34.82 eV per atom

a = 7.0897 Å, b = 7.0897 Å, c = 7.0897 Å
α = 90.00°, β = 90.00°, γ = 90.00°
Closest atoms and distances in Å follow each position.
Space group Pm-3m (No. 221)
One atom of each set of equivalent atoms:
Cs (0.0000, 0.0000, 0.5000) (multiplicity 3)  2 Te 3.54
Te (0.0000, 0.0000, 0.0000) (multiplicity 1)  6 Cs 3.54
Se (0.5000, 0.5000, 0.5000) (multiplicity 1)  12 Cs 5.01

=====

First-principles (SCAN) data for a crystal of BaTa2As relaxed with PBEsol, as listed in Alexandria via LeMat-Bulk.

Calculated values
- Formation enthalpy at 0 K: 460 kJ/mol of formula units
- Calculated total energy: -47.04 eV per atom

a = 6.0839 Å, b = 9.8904 Å, c = 2.8840 Å
α = 90.00°, β = 90.00°, γ = 90.00°
Closest atoms and distances in Å follow each position.
Space group Cmmm (No. 65)
One atom of each set of equivalent atoms:
Ba (0.0000, 0.0000, 0.0000) (multiplicity 2)  2 Ba 2.88, 2 As 3.04
Ta (0.2500, 0.2500, 0.5000) (multiplicity 4)  4 Ta 2.88-3.04
As (0.0000, 0.5000, 0.0000) (multiplicity 2)  2 As 2.88, 2 Ba 3.04

=====

First-principles (SCAN) data for a crystal of FeSiTe relaxed with PBEsol, as listed in Alexandria via LeMat-Bulk.

Calculated values
- E_form (uncorrected): 0.289 eV/atom
- Calculated total energy: -21.51 eV per atom

a = 3.3236 Å, b = 3.3236 Å, c = 5.2931 Å
α = 90.00°, β = 90.00°, γ = 120.00°
Closest atoms and distances in Å follow each position.
Space group P3m1 (No. 156)
One atom of each set of equivalent atoms:
Fe (0.0000, 0.0000, 0.0000) (multiplicity 1)  3 Si 2.33, 3 Te 2.57
Si (0.6667, 0.3333, 0.7510) (multiplicity 1)  3 Fe 2.33
Te (0.3333, 0.6667, 0.3230) (multiplicity 1)  3 Fe 2.57

=====

First-principles (SCAN) data for a crystal of BaP2Cl relaxed with PBEsol, as listed in Alexandria via LeMat-Bulk.

Calculated values
- Energy above the most stable polymorph in this dataset: 1.73 eV per formula unit
- E_form (uncorrected): -0.632 eV/atom
- Calculated total energy: -17.71 eV per atom

a = 4.9845 Å, b = 4.9845 Å, c = 5.5943 Å
α = 90.00°, β = 90.00°, γ = 90.00°
Closest atoms and distances in Å follow each position.
Space group P4/mmm (No. 123)
One atom of each set of equivalent atoms:
Ba (0.0000, 0.0000, 0.0000) (multiplicity 1)  2 Cl 2.80
P (0.5000, 0.5000, 0.3237) (multiplicity 2)  1 P 1.97
Cl (0.0000, 0.0000, 0.5000) (multiplicity 1)  2 Ba 2.80

=====

First-principles (SCAN) data for a crystal of BeSb2PdI relaxed with PBEsol, as listed in Alexandria via LeMat-Bulk.

Calculated values
- E_form (uncorrected): 0.874 eV/atom
- Calculated total energy: -28.80 eV per atom

a = 5.1327 Å, b = 5.1327 Å, c = 5.4261 Å
α = 90.00°, β = 90.00°, γ = 90.00°
Closest atoms and distances in Å follow each position.
Space group P4/mmm (No. 123)
One atom of each set of equivalent atoms:
Be (0.0000, 0.0000, 0.0000) (multiplicity 1)  4 I 3.63, 8 Sb 3.73
Sb (0.0000, 0.5000, 0.5000) (multiplicity 2)  2 Pd 2.57
Pd (0.5000, 0.5000, 0.5000) (multiplicity 1)  4 Sb 2.57, 2 I 2.71
I (0.5000, 0.5000, 0.0000) (multiplicity 1)  2 Pd 2.71

=====

First-principles (SCAN) data for a crystal of TiNiSeBr2 relaxed with PBEsol, as listed in Alexandria via LeMat-Bulk.

Calculated values
- E_form (uncorrected): 0.005 eV/atom
- Calculated total energy: -18.23 eV per atom

a = 4.6562 Å, b = 4.6562 Å, c = 4.8489 Å
α = 90.00°, β = 90.00°, γ = 90.00°
Closest atoms and distances in Å follow each position.
Space group P4/mmm (No. 123)
One atom of each set of equivalent atoms:
Ti (0.0000, 0.0000, 0.0000) (multiplicity 1)  4 Se 3.29, 8 Br 3.36
Ni (0.5000, 0.5000, 0.5000) (multiplicity 1)  4 Br 2.33, 2 Se 2.42
Se (0.5000, 0.5000, 0.0000) (multiplicity 1)  2 Ni 2.42
Br (0.0000, 0.5000, 0.5000) (multiplicity 2)  2 Ni 2.33

=====

First-principles (SCAN) data for a crystal of Li3BN2 relaxed with PBEsol, as listed in Alexandria via LeMat-Bulk.

Calculated values
- Energy above the most stable polymorph in this dataset: 0.01 eV per formula unit
- E_form (uncorrected): -1.007 eV/atom
- Calculated total energy: -6.54 eV per atom

a = 4.6300 Å, b = 4.6300 Å, c = 5.1328 Å
α = 90.00°, β = 90.00°, γ = 90.00°
Closest atoms and distances in Å follow each position.
Space group P4_2/mnm (No. 136)
One atom of each set of equivalent atoms:
Li (0.0000, 0.0000, 0.0000) (multiplicity 2)  2 N 1.93
Li (0.0000, 0.5000, 0.2500) (multiplicity 4)  4 N 2.10
B (0.0000, 0.0000, 0.5000) (multiplicity 2)  2 N 1.35
N (0.2055, 0.2055, 0.5000) (multiplicity 4)  1 B 1.35

=====

First-principles (SCAN) data for a crystal of ScZn2Au2 relaxed with PBEsol, as listed in Alexandria via LeMat-Bulk.

Calculated values
- Formation enthalpy at 0 K: -295 kJ/mol of formula units
- Calculated total energy: -36.53 eV per atom

a = 3.6565 Å, b = 3.6565 Å, c = 12.9819 Å
α = 90.00°, β = 90.00°, γ = 90.00°
Closest atoms and distances in Å follow each position.
Space group I4/mmm (No. 139)
One atom of each set of equivalent atoms:
Sc (0.0000, 0.0000, 0.0000) (multiplicity 2)  8 Au 2.91
Zn (0.0000, 0.5000, 0.2500) (multiplicity 4)  4 Zn 2.59, 4 Au 2.64
Au (0.0000, 0.0000, 0.3965) (multiplicity 4)  4 Zn 2.64, 1 Au 2.69, 4 Sc 2.91

=====

First-principles (SCAN) data for a crystal of MgFePb2 relaxed with PBEsol, as listed in Alexandria via LeMat-Bulk.

Calculated values
- Formation enthalpy at 0 K: 105 kJ/mol of formula units
- Calculated total energy: -43.39 eV per atom

a = 3.3933 Å, b = 3.3933 Å, c = 7.5105 Å
α = 90.00°, β = 90.00°, γ = 90.00°
Closest atoms and distances in Å follow each position.
Space group P4/mmm (No. 123)
One atom of each set of equivalent atoms:
Mg (0.0000, 0.0000, 0.0000) (multiplicity 1)  8 Pb 3.22, 4 Mg 3.39
Fe (0.0000, 0.0000, 0.5000) (multiplicity 1)  8 Pb 2.89
Pb (0.5000, 0.5000, 0.2854) (multiplicity 2)  4 Fe 2.89, 4 Mg 3.22, 1 Pb 3.22

=====

First-principles (SCAN) data for a crystal of ZnFePCl2 relaxed with PBEsol, as listed in Alexandria via LeMat-Bulk.

Calculated values
- Energy above the most stable polymorph in this dataset: 1.10 eV per formula unit
- E_form (uncorrected): 0.378 eV/atom
- Calculated total energy: -11.22 eV per atom

a = 4.5628 Å, b = 4.5628 Å, c = 4.9488 Å
α = 90.00°, β = 90.00°, γ = 90.00°
Closest atoms and distances in Å follow each position.
Space group P4/mmm (No. 123)
One atom of each set of equivalent atoms:
Zn (0.0000, 0.0000, 0.0000) (multiplicity 1)  4 Cl 2.28, 2 P 2.47
Fe (0.5000, 0.5000, 0.5000) (multiplicity 1)  4 P 3.23, 8 Cl 3.37
P (0.0000, 0.0000, 0.5000) (multiplicity 1)  2 Zn 2.47
Cl (0.0000, 0.5000, 0.0000) (multiplicity 2)  2 Zn 2.28